(1)
First-principles (GGA-PBE) data for a relaxed La3MgOs crystal, as listed in the Alexandria database.

DOS at the Fermi energy   18.76 states/eV per cell
Total energy   -5.63 eV per atom
Offset from the most stable computed form   15.9 meV per atom

a = 9.9636 Å, b = 6.4267 Å, c = 11.0224 Å
α = 90.00°, β = 119.77°, γ = 90.00°
Closest atoms and distances in Å follow each position.
Positions (direct):
La  0.0255  0.0770  0.3118  1 Os 2.75
La  0.0255  0.4230  0.8118  1 Os 2.75
La  0.3207  0.1909  0.6887  2 Os 2.87-2.88
La  0.3207  0.3091  0.1887  2 Os 2.87-2.88
La  0.3865  0.7444  0.9327  2 Os 2.87-3.00
La  0.3865  0.7556  0.4327  2 Os 2.87-3.00
La  0.6135  0.2444  0.5673  2 Os 2.87-3.00
La  0.6135  0.2556  0.0673  2 Os 2.87-3.00
La  0.6793  0.6909  0.8113  2 Os 2.87-2.88
La  0.6793  0.8091  0.3113  2 Os 2.87-2.88
La  0.9745  0.5770  0.1882  1 Os 2.75
La  0.9745  0.9230  0.6882  1 Os 2.75
Mg  0.1466  0.6364  0.5471  1 Os 2.94, 1 Mg 3.11
Mg  0.1466  0.8636  0.0471  1 Os 2.94, 1 Mg 3.11
Mg  0.8534  0.1364  0.9529  1 Os 2.94, 1 Mg 3.11
Mg  0.8534  0.3636  0.4529  1 Os 2.94, 1 Mg 3.11
Os  0.2749  0.1575  0.9263  5 La 2.75-3.00, 1 Mg 2.94
Os  0.2749  0.3425  0.4263  5 La 2.75-3.00, 1 Mg 2.94
Os  0.7251  0.6575  0.5737  5 La 2.75-3.00, 1 Mg 2.94
Os  0.7251  0.8425  0.0737  5 La 2.75-3.00, 1 Mg 2.94

(2)
First-principles (GGA-PBE) data for a relaxed La3MgOs crystal, as listed in the Alexandria database.

DOS at the Fermi energy   11.12 states/eV per cell
Total energy   -5.41 eV per atom
Offset from the most stable computed form   240.8 meV per atom

a = 7.9849 Å, b = 7.9849 Å, c = 6.3277 Å
α = 90.00°, β = 90.00°, γ = 131.34°
Closest atoms and distances in Å follow each position.
Positions (direct):
La  0.0000  0.0000  0.0000  2 Os 2.82
La  0.0000  0.0000  0.5000  2 Os 2.82
La  0.0495  0.4363  0.2500  1 Os 2.71
La  0.4363  0.0495  0.7500  1 Os 2.71
La  0.5637  0.9505  0.2500  1 Os 2.71
La  0.9505  0.5637  0.7500  1 Os 2.71
Mg  0.4234  0.5766  0.7500  2 Os 3.51, 6 La 3.71-3.82, 2 Mg 3.87
Mg  0.5766  0.4234  0.2500  2 Os 3.51, 6 La 3.71-3.82, 2 Mg 3.87
Os  0.1607  0.8393  0.2500  4 La 2.71-2.82
Os  0.8393  0.1607  0.7500  4 La 2.71-2.82

(3)
First-principles (GGA-PBE) data for a relaxed La3MgOs crystal, as listed in the Alexandria database.

DOS at the Fermi energy   16.04 states/eV per cell
Total energy   -5.10 eV per atom
Offset from the most stable computed form   548.1 meV per atom

a = 4.4930 Å, b = 4.4930 Å, c = 9.1639 Å
α = 90.00°, β = 90.00°, γ = 90.00°
Closest atoms and distances in Å follow each position.
Positions (direct):
La  0.0000  0.0000  0.0000  4 Os 3.33, 1 Mg 3.53, 4 La 3.65
La  0.0000  0.5000  0.6855  2 Os 2.93, 4 La 3.18
La  0.5000  0.0000  0.6855  2 Os 2.93, 4 La 3.18
Mg  0.0000  0.0000  0.3857  5 La 3.53-3.55
Os  0.5000  0.5000  0.8906  4 La 2.93

(4)
First-principles (GGA-PBE) data for a relaxed La3MgOs crystal, as listed in the Alexandria database.

DOS at the Fermi energy   4.80 states/eV per cell
Total energy   -5.63 eV per atom
Offset from the most stable computed form   15.9 meV per atom

a = 6.7837 Å, b = 6.9909 Å, c = 7.2748 Å
α = 102.07°, β = 94.94°, γ = 112.05°
Closest atoms and distances in Å follow each position.
Positions (direct):
La  0.0000  0.0000  0.0000  1 Os 2.70
La  0.0073  0.5128  0.6538  2 Os 2.76-3.03
La  0.4447  0.3950  0.3938  1 Os 2.75
La  0.4685  0.8634  0.0508  2 Os 2.77-3.05
La  0.5281  0.9838  0.5862  2 Os 2.91-2.97, 1 Mg 3.25
La  0.9127  0.4855  0.1293  1 Os 2.67
Mg  0.4017  0.3610  0.8700  1 Os 2.79
Mg  0.9790  0.9495  0.5031  2 Os 2.85-3.08
Os  0.6707  0.6913  0.7333  3 La 2.70-2.91, 1 Mg 2.79
Os  0.7997  0.1878  0.3241  4 La 2.67-2.97, 1 Mg 2.85

(5)
First-principles (GGA-PBE) data for a relaxed La3MgOs crystal, as listed in the Alexandria database.

DOS at the Fermi energy   12.18 states/eV per cell
Total energy   -4.98 eV per atom
Offset from the most stable computed form   666.3 meV per atom

a = 9.3167 Å, b = 9.3167 Å, c = 5.4525 Å
α = 90.00°, β = 90.00°, γ = 137.90°
Closest atoms and distances in Å follow each position.
Positions (direct):
La  0.0000  0.0000  0.0000  2 La 2.73
La  0.0000  0.0000  0.5000  2 La 2.73
La  0.1361  0.4183  0.7500  1 Os 2.91, 1 La 2.98
La  0.4183  0.1361  0.2500  1 Os 2.91, 1 La 2.98
La  0.5817  0.8639  0.7500  1 Os 2.91, 1 La 2.98
La  0.8639  0.5817  0.2500  1 Os 2.91, 1 La 2.98
Mg  0.1840  0.8160  0.7500  8 La 3.38-3.48
Mg  0.8160  0.1840  0.2500  8 La 3.38-3.48
Os  0.4972  0.5028  0.2500  2 Os 2.73, 2 La 2.91
Os  0.5028  0.4972  0.7500  2 Os 2.73, 2 La 2.91

(6)
First-principles (GGA-PBE) data for a relaxed LaMgOs3 crystal, as listed in the Alexandria database.

DOS at the Fermi energy   7.67 states/eV per cell
Total energy   -5.56 eV per atom
Offset from the most stable computed form   997.2 meV per atom

a = 4.8763 Å, b = 4.8763 Å, c = 4.8763 Å
α = 90.00°, β = 90.00°, γ = 90.00°
Closest atoms and distances in Å follow each position.
Positions (direct):
La  0.0000  0.0000  0.0000  6 Os 2.44
Mg  0.5000  0.5000  0.5000  12 Os 3.45
Os  0.0000  0.0000  0.5000  2 La 2.44
Os  0.0000  0.5000  0.0000  2 La 2.44
Os  0.5000  0.0000  0.0000  2 La 2.44

(7)
First-principles (GGA-PBE) data for a relaxed LaMgOs3 crystal, as listed in the Alexandria database.

DOS at the Fermi energy   12.12 states/eV per cell
Total energy   -6.56 eV per atom
Offset from the most stable computed form   0.0 meV per atom

a = 4.6452 Å, b = 4.6452 Å, c = 4.6452 Å
α = 90.00°, β = 90.00°, γ = 90.00°
Closest atoms and distances in Å follow each position.
Positions (direct):
La  0.0000  0.0000  0.0000  12 Os 3.28
Mg  0.5000  0.5000  0.5000  6 Os 2.32
Os  0.0000  0.5000  0.5000  2 Mg 2.32
Os  0.5000  0.0000  0.5000  2 Mg 2.32
Os  0.5000  0.5000  0.0000  2 Mg 2.32

(8)
First-principles (GGA-PBE) data for a relaxed La3MgOs crystal, as listed in the Alexandria database.

DOS at the Fermi energy   4.41 states/eV per cell
Total energy   -5.61 eV per atom
Offset from the most stable computed form   33.3 meV per atom

a = 6.4269 Å, b = 7.3435 Å, c = 7.4596 Å
α = 65.74°, β = 79.61°, γ = 75.90°
Closest atoms and distances in Å follow each position.
Positions (direct):
La  0.0000  0.0000  0.0000  2 Os 2.99-3.10
La  0.0023  0.7206  0.5142  2 Os 2.86-2.89
La  0.4598  0.7528  0.7971  1 Os 2.75
La  0.4943  0.2475  0.1645  1 Os 2.73
La  0.5679  0.6898  0.3034  1 Os 2.88
La  0.9726  0.2384  0.4943  2 Os 2.82-3.03
Mg  0.4097  0.2839  0.6863  1 Os 2.77
Mg  0.9728  0.4940  0.9956  2 Os 2.75-2.80
Os  0.2141  0.5707  0.2170  5 La 2.73-3.03, 1 Mg 2.75
Os  0.7403  0.4216  0.7557  3 La 2.75-2.89, 2 Mg 2.77-2.80

(9)
First-principles (GGA-PBE) data for a relaxed La3MgOs crystal, as listed in the Alexandria database.

DOS at the Fermi energy   26.22 states/eV per cell
Total energy   -5.45 eV per atom
Offset from the most stable computed form   192.8 meV per atom

a = 6.4647 Å, b = 10.8578 Å, c = 8.4673 Å
α = 90.00°, β = 90.00°, γ = 90.00°
Closest atoms and distances in Å follow each position.
Positions (direct):
La  0.0299  0.1052  0.1463  2 Os 2.88-3.20, 1 La 3.15, 1 Mg 3.21
La  0.0299  0.3948  0.1463  2 Os 2.88-3.20, 1 La 3.15, 1 Mg 3.21
La  0.1834  0.2500  0.7175  2 Os 2.98-3.05, 2 La 3.28
La  0.3166  0.7500  0.2175  2 Os 2.98-3.05, 2 La 3.28
La  0.4701  0.6052  0.6463  2 Os 2.88-3.20, 1 La 3.15, 1 Mg 3.21
La  0.4701  0.8948  0.6463  2 Os 2.88-3.20, 1 La 3.15, 1 Mg 3.21
La  0.5299  0.1052  0.3537  2 Os 2.88-3.20, 1 La 3.15, 1 Mg 3.21
La  0.5299  0.3948  0.3537  2 Os 2.88-3.20, 1 La 3.15, 1 Mg 3.21
La  0.6834  0.2500  0.7825  2 Os 2.98-3.05, 2 La 3.28
La  0.8166  0.7500  0.2825  2 Os 2.98-3.05, 2 La 3.28
La  0.9701  0.6052  0.8537  2 Os 2.88-3.20, 1 La 3.15, 1 Mg 3.21
La  0.9701  0.8948  0.8537  2 Os 2.88-3.20, 1 La 3.15, 1 Mg 3.21
Mg  0.0000  0.0000  0.5000  2 Os 2.85
Mg  0.0000  0.5000  0.5000  2 Os 2.85
Mg  0.5000  0.0000  0.0000  2 Os 2.85
Mg  0.5000  0.5000  0.0000  2 Os 2.85
Os  0.1215  0.7500  0.5458  2 Mg 2.85, 4 La 2.88-3.05
Os  0.3785  0.2500  0.0458  2 Mg 2.85, 4 La 2.88-3.05
Os  0.6215  0.7500  0.9542  2 Mg 2.85, 4 La 2.88-3.05
Os  0.8785  0.2500  0.4542  2 Mg 2.85, 4 La 2.88-3.05

(10)
First-principles (GGA-PBE) data for a relaxed La3MgOs crystal, as listed in the Alexandria database.

DOS at the Fermi energy   3.98 states/eV per cell
Total energy   -5.59 eV per atom
Offset from the most stable computed form   51.8 meV per atom

a = 5.6266 Å, b = 5.6266 Å, c = 5.6266 Å
α = 90.00°, β = 90.00°, γ = 90.00°
Closest atoms and distances in Å follow each position.
Positions (direct):
La  0.0000  0.0000  0.5000  2 Os 2.81
La  0.0000  0.5000  0.0000  2 Os 2.81
La  0.5000  0.0000  0.0000  2 Os 2.81
Mg  0.5000  0.5000  0.5000  12 La 3.98
Os  0.0000  0.0000  0.0000  6 La 2.81

(11)
First-principles (GGA-PBE) data for a relaxed La2MgOs crystal, as listed in the Alexandria database.

DOS at the Fermi energy   3.43 states/eV per cell
Total energy   -5.73 eV per atom

a = 3.4910 Å, b = 3.4910 Å, c = 9.2472 Å
α = 90.00°, β = 90.00°, γ = 90.00°
Closest atoms and distances in Å follow each position.
Positions (direct):
La  0.0000  0.0000  0.1912  4 Os 3.04
La  0.0000  0.0000  0.8088  4 Os 3.04
Mg  0.5000  0.5000  0.5000  4 Mg 3.49, 8 La 3.77
Os  0.5000  0.5000  0.0000  8 La 3.04

(12)
First-principles (GGA-PBE) data for a relaxed La3MgOs crystal, as listed in the Alexandria database.

DOS at the Fermi energy   20.23 states/eV per cell
Total energy   -5.62 eV per atom
Offset from the most stable computed form   30.9 meV per atom

a = 9.6460 Å, b = 9.6460 Å, c = 6.9218 Å
α = 96.16°, β = 96.16°, γ = 97.15°
Closest atoms and distances in Å follow each position.
Positions (direct):
La  0.0714  0.2033  0.6190  2 Os 2.86-2.93
La  0.1003  0.6752  0.8961  1 Os 2.74
La  0.2033  0.0714  0.1190  2 Os 2.86-2.93
La  0.3248  0.8997  0.6039  1 Os 2.74
La  0.3286  0.4366  0.0297  2 Os 2.75-3.07
La  0.4366  0.3286  0.5297  2 Os 2.75-3.07
La  0.5634  0.6714  0.4703  2 Os 2.75-3.07
La  0.6714  0.5634  0.9703  2 Os 2.75-3.07
La  0.6752  0.1003  0.3961  1 Os 2.74
La  0.7967  0.9286  0.8810  2 Os 2.86-2.93
La  0.8997  0.3248  0.1039  1 Os 2.74
La  0.9286  0.7967  0.3810  2 Os 2.86-2.93
Mg  0.1717  0.5412  0.4413  1 Os 2.80
Mg  0.4588  0.8283  0.0587  1 Os 2.80
Mg  0.5412  0.1717  0.9413  1 Os 2.80
Mg  0.8283  0.4588  0.5587  1 Os 2.80
Os  0.0750  0.9250  0.7500  6 La 2.74-2.93
Os  0.3907  0.6093  0.7500  4 La 2.75-3.07, 2 Mg 2.80
Os  0.6093  0.3907  0.2500  4 La 2.75-3.07, 2 Mg 2.80
Os  0.9250  0.0750  0.2500  6 La 2.74-2.93